Entry 1:
Density functional theory data (PBEsol) for crystalline Y3ScAs at its relaxed geometry.

CIF file:
```
data_Y3ScAs
_cell_length_a 5.3741
_cell_length_b 5.3741
_cell_length_c 5.3741
_cell_angle_alpha 90.00
_cell_angle_beta 90.00
_cell_angle_gamma 90.00
_space_group_name_H-M_alt 'P m -3 m'
_space_group_IT_number 221
_space_group_name_Hall '-P 4 2 3'
loop_
_atom_site_label
_atom_site_fract_x
_atom_site_fract_y
_atom_site_fract_z
Y1 0.0000 0.0000 0.5000
Sc1 0.5000 0.5000 0.5000
As1 0.0000 0.0000 0.0000
```

Output
**VASP energy**: -33.43 eV/cell
**Energy above the lowest structure with this stoichiometry**: 0.000 eV/atom
**Formation enthalpy at 0 K**: -0.25 eV per atom

***

Entry 2:
Density functional theory data (PBEsol) for crystalline YRu3Br at its relaxed geometry.

CIF file:
```
data_YRu3Br
_cell_length_a 4.5290
_cell_length_b 4.5290
_cell_length_c 4.5290
_cell_angle_alpha 90.00
_cell_angle_beta 90.00
_cell_angle_gamma 90.00
_space_group_name_H-M_alt 'P m -3 m'
_space_group_IT_number 221
_space_group_name_Hall '-P 4 2 3'
loop_
_atom_site_label
_atom_site_fract_x
_atom_site_fract_y
_atom_site_fract_z
Y1 0.0000 0.0000 0.0000
Ru1 0.0000 0.5000 0.5000
Br1 0.5000 0.5000 0.5000
```

Output
**VASP energy**: -35.01 eV/cell
**Formation energy (no corrections)**: 4.20 eV/f.u.

***

Entry 3:
Density functional theory data (PBEsol) for crystalline Al3Tc4 at its relaxed geometry.

CIF file:
```
data_Al3Tc4
_cell_length_a 2.9941
_cell_length_b 2.9941
_cell_length_c 21.5552
_cell_angle_alpha 90.00
_cell_angle_beta 90.00
_cell_angle_gamma 90.00
_space_group_name_H-M_alt 'I 4/m m m'
_space_group_IT_number 139
_space_group_name_Hall '-I 4 2'
loop_
_atom_site_label
_atom_site_fract_x
_atom_site_fract_y
_atom_site_fract_z
Al1 0.0000 0.0000 0.0000
Al2 0.0000 0.0000 0.2884
Tc1 0.0000 0.0000 0.1450
Tc2 0.0000 0.0000 0.4273
```

Output
**VASP energy**: -120.07 eV/cell
**Formation enthalpy at 0 K**: -0.39 eV per atom